1.
Below is Al3Ag at its PBEsol-relaxed geometry, with properties calculated at the meta-GGA SCAN level.

abc: 4.818 5.040 5.705
angles: 107.85 90.64 98.00
Sites, in units of the cell vectors:
Al 0.129 0.258 0.186
Al 0.132 0.247 0.690
Al 0.368 0.755 0.065
Al 0.632 0.245 0.935
Al 0.868 0.753 0.310
Al 0.871 0.742 0.814
Ag 0.369 0.751 0.567
Ag 0.631 0.249 0.433

## Properties
D(E_F) = 0.287 states/eV/atom
Energy of formation from the pure elements = -27 meV per atom
Magnetization = 0.002 μB/f.u.
Space-group type = No. 2
Density = 4.8 Mg/m³

***

2.
Below is AlAg at its PBEsol-relaxed geometry, with properties calculated at the meta-GGA SCAN level.

abc: 17.883 17.883 17.883
angles: 9.32 9.32 9.32
Sites, in units of the cell vectors:
Al 0.000 0.000 0.000
Al 0.124 0.124 0.124
Al 0.375 0.375 0.375
Al 0.625 0.625 0.625
Ag 0.252 0.252 0.252
Ag 0.498 0.498 0.498
Ag 0.749 0.749 0.749
Ag 0.875 0.875 0.875

## Properties
D(E_F) = 0.304 states/eV/atom
Energy of formation from the pure elements = -54 meV per atom
Magnetization = 0.023 μB/f.u.
Space-group type = No. 160
Density = 6.9 Mg/m³

***

3.
Below is Al3Ag5 at its PBEsol-relaxed geometry, with properties calculated at the meta-GGA SCAN level.

abc: 6.137 6.137 3.387
angles: 90.00 90.00 90.00
Sites, in units of the cell vectors:
Al 0.000 0.000 0.000
Al 0.000 0.500 0.000
Al 0.500 0.000 0.000
Ag 0.242 0.242 0.500
Ag 0.242 0.758 0.500
Ag 0.500 0.500 0.000
Ag 0.758 0.242 0.500
Ag 0.758 0.758 0.500

## Properties
D(E_F) = 0.210 states/eV/atom
Energy of formation from the pure elements = -95 meV per atom
Magnetization = 0.000 μB/f.u.
Space-group type = No. 123
Density = 8.1 Mg/m³

***

4.
Below is Al7Ag5 at its PBEsol-relaxed geometry, with properties calculated at the meta-GGA SCAN level.

abc: 8.980 8.980 3.933
angles: 90.00 90.00 142.28
Sites, in units of the cell vectors:
Al 0.000 0.000 0.000
Al 0.161 0.330 0.500
Al 0.172 0.828 0.000
Al 0.330 0.161 0.500
Al 0.670 0.839 0.500
Al 0.828 0.172 0.000
Al 0.839 0.670 0.500
Ag 0.000 0.500 0.500
Ag 0.337 0.663 0.000
Ag 0.500 0.000 0.500
Ag 0.500 0.500 0.000
Ag 0.663 0.337 0.000

## Properties
D(E_F) = 0.316 states/eV/atom
Energy of formation from the pure elements = -58 meV per atom
Magnetization = 0.018 μB/f.u.
Space-group type = No. 65
Density = 6.2 Mg/m³

***

5.
Below is Al3Ag5 at its PBEsol-relaxed geometry, with properties calculated at the meta-GGA SCAN level.

abc: 3.944 3.944 8.226
angles: 90.00 90.00 90.00
Sites, in units of the cell vectors:
Al 0.000 0.000 0.000
Al 0.000 0.500 0.259
Al 0.500 0.000 0.741
Ag 0.000 0.000 0.500
Ag 0.000 0.500 0.759
Ag 0.500 0.000 0.241
Ag 0.500 0.500 0.000
Ag 0.500 0.500 0.500

## Properties
D(E_F) = 0.227 states/eV/atom
Energy of formation from the pure elements = -101 meV per atom
Magnetization = 0.000 μB/f.u.
Space-group type = No. 115
Density = 8.0 Mg/m³

***

6.
Below is Al7Ag5 at its PBEsol-relaxed geometry, with properties calculated at the meta-GGA SCAN level.

abc: 3.883 8.716 8.716
angles: 41.35 90.00 90.00
Sites, in units of the cell vectors:
Al 0.000 0.000 0.000
Al 0.000 0.168 0.168
Al 0.000 0.499 0.499
Al 0.500 0.335 0.842
Al 0.500 0.514 0.998
Al 0.500 0.842 0.335
Al 0.500 0.998 0.514
Ag 0.000 0.330 0.330
Ag 0.000 0.662 0.662
Ag 0.000 0.834 0.834
Ag 0.500 0.177 0.673
Ag 0.500 0.673 0.177

## Properties
D(E_F) = 0.276 states/eV/atom
Energy of formation from the pure elements = -73 meV per atom
Magnetization = 0.000 μB/f.u.
Space-group type = No. 38
Density = 6.2 Mg/m³

***

7.
Below is Al3Ag5 at its PBEsol-relaxed geometry, with properties calculated at the meta-GGA SCAN level.

abc: 5.022 2.877 9.166
angles: 90.00 100.81 90.00
Sites, in units of the cell vectors:
Al 0.000 0.000 0.000
Al 0.246 0.000 0.742
Al 0.492 0.500 0.000
Ag 0.242 0.500 0.241
Ag 0.495 0.000 0.499
Ag 0.744 0.000 0.240
Ag 0.748 0.500 0.761
Ag 0.996 0.500 0.504

## Properties
D(E_F) = 0.317 states/eV/atom
Energy of formation from the pure elements = -58 meV per atom
Magnetization = 0.014 μB/f.u.
Space-group type = No. 6
Density = 7.9 Mg/m³

***

8.
Below is Al4Ag5 at its PBEsol-relaxed geometry, with properties calculated at the meta-GGA SCAN level.

abc: 4.990 4.999 6.910
angles: 75.32 83.55 60.30
Sites, in units of the cell vectors:
Al 0.007 0.216 0.327
Al 0.341 0.551 0.327
Al 0.659 0.449 0.673
Al 0.993 0.784 0.673
Ag 0.000 0.000 0.000
Ag 0.319 0.131 0.653
Ag 0.330 0.340 0.000
Ag 0.670 0.660 0.000
Ag 0.681 0.869 0.347

## Properties
D(E_F) = 0.185 states/eV/atom
Energy of formation from the pure elements = -96 meV per atom
Magnetization = 0.000 μB/f.u.
Space-group type = No. 2
Density = 7.4 Mg/m³

***

9.
Below is AlAg at its PBEsol-relaxed geometry, with properties calculated at the meta-GGA SCAN level.

abc: 17.624 17.624 17.624
angles: 9.51 9.51 9.51
Sites, in units of the cell vectors:
Al 0.063 0.063 0.063
Al 0.188 0.188 0.188
Al 0.812 0.812 0.812
Al 0.937 0.937 0.937
Ag 0.311 0.311 0.311
Ag 0.438 0.438 0.438
Ag 0.562 0.562 0.562
Ag 0.689 0.689 0.689

## Properties
D(E_F) = 0.229 states/eV/atom
Energy of formation from the pure elements = -85 meV per atom
Magnetization = 0.000 μB/f.u.
Space-group type = No. 166
Density = 6.9 Mg/m³

***

10.
Below is Al3Ag5 at its PBEsol-relaxed geometry, with properties calculated at the meta-GGA SCAN level.

abc: 8.601 8.601 8.601
angles: 154.10 152.54 38.11
Sites, in units of the cell vectors:
Al 0.000 0.000 0.000
Al 0.372 0.872 0.500
Al 0.628 0.128 0.500
Ag 0.120 0.620 0.500
Ag 0.251 0.251 0.000
Ag 0.500 0.500 0.000
Ag 0.749 0.749 0.000
Ag 0.880 0.380 0.500

## Properties
D(E_F) = 0.241 states/eV/atom
Energy of formation from the pure elements = -98 meV per atom
Magnetization = 0.000 μB/f.u.
Space-group type = No. 71
Density = 8.0 Mg/m³

***

11.
Below is Al7Ag4 at its PBEsol-relaxed geometry, with properties calculated at the meta-GGA SCAN level.

abc: 4.823 5.053 7.465
angles: 89.34 84.85 80.90
Sites, in units of the cell vectors:
Al 0.000 0.000 0.000
Al 0.088 0.799 0.643
Al 0.177 0.628 0.281
Al 0.362 0.253 0.554
Al 0.459 0.085 0.188
Al 0.634 0.699 0.459
Al 0.723 0.545 0.090
Ag 0.267 0.454 0.925
Ag 0.540 0.904 0.822
Ag 0.822 0.352 0.728
Ag 0.911 0.160 0.363

## Properties
D(E_F) = 0.284 states/eV/atom
Energy of formation from the pure elements = -40 meV per atom
Magnetization = 0.000 μB/f.u.
Space-group type = No. 1
Density = 5.8 Mg/m³

***

12.
Below is Al5Ag6 at its PBEsol-relaxed geometry, with properties calculated at the meta-GGA SCAN level.

abc: 4.881 5.055 7.341
angles: 94.02 96.58 98.44
Sites, in units of the cell vectors:
Al 0.000 0.000 0.000
Al 0.188 0.363 0.736
Al 0.357 0.727 0.456
Al 0.643 0.273 0.544
Al 0.812 0.637 0.264
Ag 0.103 0.191 0.374
Ag 0.270 0.547 0.096
Ag 0.445 0.912 0.812
Ag 0.555 0.088 0.188
Ag 0.730 0.453 0.904
Ag 0.897 0.809 0.626

## Properties
D(E_F) = 0.265 states/eV/atom
Energy of formation from the pure elements = -83 meV per atom
Magnetization = 0.014 μB/f.u.
Space-group type = No. 2
Density = 7.3 Mg/m³